# Mn2InSi, optimized geometry, DFT PBE
data_Mn2InSi
_symmetry_space_group_name_H-M 'P 4/m m m'
_symmetry_Int_Tables_number 123
_symmetry_space_group_name_Hall '-P 4 2'
_cell_length_a 2.866
_cell_length_b 2.866
_cell_length_c 6.850
_cell_angle_alpha 90.00
_cell_angle_beta 90.00
_cell_angle_gamma 90.00
loop_
_atom_site_label
_atom_site_type_symbol
_atom_site_fract_x
_atom_site_fract_y
_atom_site_fract_z
Mn1 Mn 0.000 0.000 0.199
In1 In 0.500 0.500 0.500
Si1 Si 0.500 0.500 0.000
# M_tot = 0.94 μB per atom
# Total DFT energy (no corrections) = -26.51 eV for the cell shown


# Mn2In2Si, optimized geometry, DFT PBE
data_Mn2In2Si
_symmetry_space_group_name_H-M 'I 4/m m m'
_symmetry_Int_Tables_number 139
_symmetry_space_group_name_Hall '-I 4 2'
_cell_length_a 3.906
_cell_length_b 3.906
_cell_length_c 12.935
_cell_angle_alpha 90.00
_cell_angle_beta 90.00
_cell_angle_gamma 90.00
loop_
_atom_site_label
_atom_site_type_symbol
_atom_site_fract_x
_atom_site_fract_y
_atom_site_fract_z
Mn1 Mn 0.000 0.000 0.091
In1 In 0.000 0.500 0.250
Si1 Si 0.000 0.000 0.500
# M_tot = 1.23 μB per atom
# Total DFT energy (no corrections) = -51.77 eV for the cell shown